# Rb3Nd2PuSe6 GGA-PBE optimized geometry
# Crystal system: monoclinic
# Energy relative to the elements, uncorrected in eV per atom: -1.623
data_Rb3Nd2PuSe6
_chemical_formula_sum 'Rb6 Nd4 Pu2 Se12'
_cell_length_a 7.571
_cell_length_b 13.114
_cell_length_c 8.382
_cell_angle_alpha 90.00
_cell_angle_beta 107.53
_cell_angle_gamma 90.00
_space_group_name_H-M_alt 'C 1 2/m 1'
_space_group_IT_number 12
loop_
_space_group_symop_operation_xyz
'x,y,z'
'-x,-y,-z'
'-x,y,-z'
'x,-y,z'
'x+1/2,y+1/2,z'
'-x+1/2,-y+1/2,-z'
'-x+1/2,y+1/2,-z'
'x+1/2,-y+1/2,z'
loop_
_atom_site_label
_atom_site_type_symbol
_atom_site_fract_x
_atom_site_fract_y
_atom_site_fract_z
_atom_site_occupancy
Rb1 Rb 0.000 0.000 0.000 1
Rb2 Rb 0.000 0.332 0.000 1
Nd1 Nd 0.000 0.167 0.500 1
Pu1 Pu 0.000 0.500 0.500 1
Se1 Se 0.231 0.335 0.699 1
Se2 Se 0.237 0.000 0.699 1